[1]
A plane-wave DFT calculation with PBE-GGA was carried out for a geometry-optimized ReNi2Hg structure.

Structure (POSCAR):
```
ReNi2Hg
1.0
5.389 0.018 0.006
2.817 4.595 -0.006
-3.511 -3.360 2.330
Hg Ni Re
1 2 1
direct
0.755 0.255 0.500
0.022 0.022 0.000
0.249 0.749 0.500
0.474 0.474 0.000
```

***

[2]
A plane-wave DFT calculation with PBE-GGA was carried out for a geometry-optimized Cs3Se2Br8 structure.

Structure (POSCAR):
```
Cs3Se2Br8
1.0
7.648 0.000 0.000
3.824 6.623 0.000
3.824 2.208 10.866
Cs Se Br
3 2 8
direct
0.000 0.000 0.000
0.793 0.793 0.620
0.207 0.207 0.380
0.603 0.603 0.192
0.397 0.397 0.808
0.680 0.680 0.961
0.320 0.320 0.039
0.198 0.747 0.307
0.747 0.198 0.307
0.747 0.747 0.307
0.253 0.802 0.693
0.802 0.253 0.693
0.253 0.253 0.693
```

***

Computed total energy (eV per atom) in order:
-5.618, -2.483